{
  "formula": "K2InCu",
  "functional": "GGA-PBE",
  "state": "relaxed",
  "total_energy_ev_per_atom": -2.18,
  "n_ef_per_ev_atom": 0.56,
  "magnetic_moment_mub_per_fu": 0.00,
  "spacegroup": "Cm",
  "volume_a3_per_atom": 41.70,
  "lattice_angstrom": [[4.7218, 0.2065, -0.0353], [2.5211, 3.9977, -0.0353], [2.2760, 1.3211, 9.0658]],
  "species": ["K", "K", "In", "Cu"],
  "frac_coords": [[0.2005, 0.2005, 0.3536], [0.0345, 0.0345, 0.8964], [0.7919, 0.7919, 0.6249], [0.4731, 0.4731, 0.6251]]
}